DFT (PBE-GGA) results for AlNiIr after structural relaxation.

The value obtained for the formation energy is -44.52 kJ/mol of atoms. Its total energy is -39.5 eV/cell. For the calculated volume, the calculation gives 12.94 A^3/atom. As for the total magnetization: 0.00 μB/f.u.

The structure belongs to space group I4mm (No. 107); the cell edges are 2.919, 2.919 and 9.112 Å and the angles 90.00°, 90.00° and 90.00°. Symmetry generates all atoms from Al at (0.000, 0.000, 0.000), Ni at (0.000, 0.000, 0.350) and Ir at (0.000, 0.000, 0.667).

DFT (PBE-GGA) results for AlNi2Ir after structural relaxation.

The value obtained for the formation energy is -33.38 kJ/mol of atoms. Its total energy is -25.6 eV/cell. For the calculated volume, the calculation gives 12.43 A^3/atom. As for the total magnetization: 1.05 μB/f.u.

The structure belongs to space group P4mm (No. 99); the cell edges are 2.986, 2.986 and 5.575 Å and the angles 90.00°, 90.00° and 90.00°. Symmetry generates all atoms from Al at (0.000, 0.000, 0.000), Ni at (0.000, 0.000, 0.536), Ni at (0.500, 0.500, 0.760) and Ir at (0.500, 0.500, 0.269).

DFT (PBE-GGA) results for Al4Ni3Ir after structural relaxation.

The value obtained for the formation energy is -70.19 kJ/mol of atoms. Its total energy is -47.0 eV/cell. For the calculated volume, the calculation gives 12.53 A^3/atom. As for the total magnetization: 0.00 μB/f.u.

The structure belongs to space group P4/mmm (No. 123); the cell edges are 2.947, 2.947 and 11.541 Å and the angles 90.00°, 90.00° and 90.00°. Symmetry generates all atoms from Al at (0.000, 0.000, 0.121), Al at (0.000, 0.000, 0.365), Ni at (0.500, 0.500, 0.000), Ni at (0.500, 0.500, 0.244) and Ir at (0.500, 0.500, 0.500).

DFT (PBE-GGA) results for AlNiIr4 after structural relaxation.

The value obtained for the formation energy is 36.50 kJ/mol of atoms. Its total energy is -170.8 eV/cell. For the calculated volume, the calculation gives 15.87 A^3/atom. As for the total magnetization: 1.53 μB/f.u.

The structure belongs to space group F-43m (No. 216); the cell edges are 7.249, 7.249 and 7.249 Å and the angles 90.00°, 90.00° and 90.00°. Symmetry generates all atoms from Al at (0.000, 0.000, 0.000), Ni at (0.250, 0.250, 0.250) and Ir at (0.125, 0.125, 0.625).

DFT (PBE-GGA) results for AlNi3Ir after structural relaxation.

The value obtained for the formation energy is 93.51 kJ/mol of atoms. Its total energy is -25.1 eV/cell. For the calculated volume, the calculation gives 14.25 A^3/atom. Its offset from the most stable computed form is 0.0 meV/atom. As for the total magnetization: 0.00 μB/f.u.

The structure belongs to space group Pm-3m (No. 221); the cell edges are 4.145, 4.145 and 4.145 Å and the angles 90.00°, 90.00° and 90.00°. Symmetry generates all atoms from Al at (0.000, 0.000, 0.000), Ni at (0.000, 0.000, 0.500) and Ir at (0.500, 0.500, 0.500).

DFT (PBE-GGA) results for AlNi2Ir after structural relaxation.

The value obtained for the formation energy is 3.45 kJ/mol of atoms. Its total energy is -96.1 eV/cell. For the calculated volume, the calculation gives 13.68 A^3/atom. As for the total magnetization: 0.00 μB/f.u.

The structure belongs to space group I-42d (No. 122); the cell edges are 3.544, 3.544 and 17.427 Å and the angles 90.00°, 90.00° and 90.00°. Symmetry generates all atoms from Al at (0.000, 0.000, 0.000), Ni at (0.248, 0.250, 0.625) and Ir at (0.000, 0.000, 0.500).

DFT (PBE-GGA) results for AlNi14Ir after structural relaxation.

The value obtained for the formation energy is -8.13 kJ/mol of atoms. Its total energy is -189.8 eV/cell. For the calculated volume, the calculation gives 11.31 A^3/atom. As for the total magnetization: 8.48 μB/f.u.

The structure belongs to space group Amm2 (No. 38); the cell edges are 8.224, 5.021 and 8.766 Å and the angles 90.00°, 90.00° and 90.00°. Symmetry generates all atoms from Al at (0.000, 0.000, 0.000), Ni at (0.000, 0.249, 0.750), Ni at (0.253, 0.000, 0.166), Ni at (0.254, 0.000, 0.666), Ni at (0.255, 0.249, 0.915), Ni at (0.500, 0.000, 0.331), Ni at (0.500, 0.000, 0.831), Ni at (0.500, 0.250, 0.082) and Ir at (0.000, 0.000, 0.500).

DFT (PBE-GGA) results for AlNi2Ir after structural relaxation.

The value obtained for the formation energy is -31.50 kJ/mol of atoms. Its total energy is -50.9 eV/cell. For the calculated volume, the calculation gives 12.49 A^3/atom. As for the total magnetization: 0.68 μB/f.u.

The structure belongs to space group Immm (No. 71); the cell edges are 2.894, 4.140 and 8.341 Å and the angles 90.00°, 90.00° and 90.00°. Symmetry generates all atoms from Al at (0.000, 0.000, 0.000), Ni at (0.000, 0.500, 0.260) and Ir at (0.000, 0.000, 0.500).

DFT (PBE-GGA) results for Al2Ni2Ir after structural relaxation.

The value obtained for the formation energy is -42.65 kJ/mol of atoms. Its total energy is -60.2 eV/cell. For the calculated volume, the calculation gives 12.76 A^3/atom. Its offset from the most stable computed form is 0.0 meV/atom. As for the total magnetization: 0.00 μB/f.u.

The structure belongs to space group P4/mbm (No. 127); the cell edges are 6.800, 6.800 and 2.760 Å and the angles 90.00°, 90.00° and 90.00°. Symmetry generates all atoms from Al at (0.175, 0.325, 0.000), Ni at (0.124, 0.624, 0.500) and Ir at (0.000, 0.000, 0.500).

DFT (PBE-GGA) results for AlNi6Ir after structural relaxation.

The value obtained for the formation energy is 4.11 kJ/mol of atoms. Its total energy is -93.9 eV/cell. For the calculated volume, the calculation gives 13.04 A^3/atom. Its offset from the most stable computed form is 238.6 meV/atom. As for the total magnetization: 0.00 μB/f.u.

The structure belongs to space group C2/m (No. 12); the cell edges are 7.133, 4.815 and 6.389 Å and the angles 90.00°, 108.13° and 90.00°. Symmetry generates all atoms from Al at (0.000, 0.000, 0.000), Ni at (0.129, 0.500, 0.920), Ni at (0.201, 0.259, 0.299) and Ir at (0.000, 0.500, 0.500).

DFT (PBE-GGA) results for Al3NiIr2 after structural relaxation.

The value obtained for the formation energy is -81.81 kJ/mol of atoms. Its total energy is -39.8 eV/cell. For the calculated volume, the calculation gives 13.25 A^3/atom. As for the total magnetization: 0.00 μB/f.u.

The structure belongs to space group P4/mmm (No. 123); the cell edges are 2.949, 2.949 and 9.139 Å and the angles 90.00°, 90.00° and 90.00°. Symmetry generates all atoms from Al at (0.000, 0.000, 0.000), Al at (0.000, 0.000, 0.344), Ni at (0.500, 0.500, 0.500) and Ir at (0.500, 0.500, 0.172).

DFT (PBE-GGA) results for AlNi2Ir after structural relaxation.

The value obtained for the formation energy is -35.18 kJ/mol of atoms. Its total energy is -51.2 eV/cell. For the calculated volume, the calculation gives 12.50 A^3/atom. As for the total magnetization: 0.00 μB/f.u.

The structure belongs to space group Cmmm (No. 65); the cell edges are 5.162, 7.171 and 2.702 Å and the angles 90.00°, 90.00° and 90.00°. Symmetry generates all atoms from Al at (0.000, 0.000, 0.000), Ni at (0.250, 0.250, 0.500) and Ir at (0.000, 0.500, 0.000).